A plane-wave DFT calculation with PBE was carried out for an optimized crystal structure of Sc6SnP2S3.

Lattice parameters (Å, degrees): 3.737 7.717 8.510 103.09 102.68 90.00
Positions (direct):
Sc  0.325  0.901  0.649
Sc  0.672  0.578  0.343
Sc  0.675  0.099  0.351
Sc  0.003  0.275  0.005
Sc  0.997  0.725  0.995
Sc  0.328  0.422  0.657
Sn  0.500  0.000  0.000
P  0.833  0.665  0.666
P  0.167  0.335  0.334
S  0.500  0.500  0.000
S  0.835  0.169  0.669
S  0.165  0.831  0.331

Summary:
volume	19.4	A^3/atom
spin magnetization	0.000	μB per atom
formation energy without anion corrections	-1.516	eV/atom
Fermi-level density of states	0.44	states/eV/atom